The following is a DFT calculation (PBE-GGA) of a relaxed structure of Tl2Ir.

Output
Its formation energy is 0.429 eV per atom. The raw total energy is -4.103 eV per atom. The value obtained for the density of states at the Fermi level is 3.5 states/eV per cell. The calculation puts the spin magnetization at 0.0 μB per cell.

```
data_Tl2Ir
_chemical_formula_sum 'Tl4 Ir2'
_symmetry_space_group_name_H-M 'C m m m'
_symmetry_Int_Tables_number 65
_symmetry_space_group_name_Hall '-C 2 2'
_cell_length_a 3.2230
_cell_length_b 13.2859
_cell_length_c 3.1834
_cell_angle_alpha 90.00
_cell_angle_beta 90.00
_cell_angle_gamma 90.00
loop_
_atom_site_label
_atom_site_fract_x
_atom_site_fract_y
_atom_site_fract_z
Tl1 0.0000 0.1393 0.0000
Ir1 0.0000 0.5000 0.5000
```



The following is a DFT calculation (PBE-GGA) of a relaxed structure of AcEuInBr.

Output
The raw total energy is -5.408 eV per atom. The value obtained for the density of states at the Fermi level is 53.2 states/eV per cell. Its formation energy (no corrections) is -0.71 eV per atom. The calculation puts the spin magnetization at 28.5 μB per cell.

```
data_AcEuInBr
_chemical_formula_sum 'Ac4 Eu4 In4 Br4'
_symmetry_space_group_name_H-M 'F -4 3 m'
_symmetry_Int_Tables_number 216
_symmetry_space_group_name_Hall 'F -4 2 3'
_cell_length_a 8.0786
_cell_length_b 8.0786
_cell_length_c 8.0786
_cell_angle_alpha 90.00
_cell_angle_beta 90.00
_cell_angle_gamma 90.00
loop_
_atom_site_label
_atom_site_fract_x
_atom_site_fract_y
_atom_site_fract_z
Ac1 0.0000 0.0000 0.0000
Eu1 0.0000 0.0000 0.5000
In1 0.2500 0.2500 0.2500
Br1 0.2500 0.2500 0.7500
```



The following is a DFT calculation (PBE-GGA) of a relaxed structure of NiSbRuRh.

Output
The raw total energy is -6.716 eV per atom. The value obtained for the density of states at the Fermi level is 20.0 states/eV per cell. Its formation energy (no corrections) is -0.08 eV per atom. The calculation puts the spin magnetization at 4.3 μB per cell.

```
data_NiSbRuRh
_chemical_formula_sum 'Ni4 Sb4 Ru4 Rh4'
_symmetry_space_group_name_H-M 'F -4 3 m'
_symmetry_Int_Tables_number 216
_symmetry_space_group_name_Hall 'F -4 2 3'
_cell_length_a 6.1862
_cell_length_b 6.1862
_cell_length_c 6.1862
_cell_angle_alpha 90.00
_cell_angle_beta 90.00
_cell_angle_gamma 90.00
loop_
_atom_site_label
_atom_site_fract_x
_atom_site_fract_y
_atom_site_fract_z
Ni1 0.0000 0.0000 0.0000
Sb1 0.0000 0.0000 0.5000
Ru1 0.2500 0.2500 0.7500
Rh1 0.2500 0.2500 0.2500
```